VASP calculation (PBE-GGA) on a relaxed LaAgSe2N crystal.

Results
Polymorph energy (0 for the lowest one)   0.0000 eV/atom
Energy relative to the elements, uncorrected   -36 kJ/mol of formula units
Total magnetic moment   1.5 μB per formula unit
D(E_F)   0.335 states/eV/atom

Cell and atoms, written as POSCAR:
```
LaAgSe2N
1.0
5.2106 0.0000 0.0000
0.0000 4.1144 0.0000
0.0000 0.0000 5.2106
La Se N Ag
1 2 1 1
Cartesian
2.6053 2.0572 2.6053 La
2.6053 0.0000 0.0000 Se
0.0000 0.0000 2.6053 Se
0.0000 2.0572 0.0000 N
0.0000 0.0000 0.0000 Ag
```

VASP calculation (PBE-GGA) on a relaxed Pm5Al4Au crystal.

Results
Formation energy from the elements   -0.440 eV per atom
Total magnetic moment   0.0 μB per formula unit
D(E_F)   0.630 states/eV/atom

Cell and atoms, written as POSCAR:
```
Pm5Al4Au
1.0
3.6729 0.0000 0.0000
0.0000 3.6729 0.0000
0.0000 0.0000 18.7765
Al Pm Au
4 5 1
Cartesian
0.0000 0.0000 11.2468 Al
0.0000 0.0000 7.5297 Al
0.0000 0.0000 3.7759 Al
0.0000 0.0000 15.0006 Al
1.8365 1.8365 5.6626 Pm
1.8365 1.8365 9.3882 Pm
1.8365 1.8365 13.1139 Pm
1.8365 1.8365 1.8864 Pm
1.8365 1.8365 16.8901 Pm
0.0000 0.0000 0.0000 Au
```

VASP calculation (PBE-GGA) on a relaxed Re2AgW crystal.

Results
Polymorph energy (0 for the lowest one)   0.2251 eV/atom
Formation energy from the elements   0.535 eV per atom
Total magnetic moment   0.0 μB per formula unit
D(E_F)   1.145 states/eV/atom

Cell and atoms, written as POSCAR:
```
Re2AgW
1.0
-1.3668 2.0875 1.1869
0.2588 -1.2297 2.4608
7.2415 4.0296 1.2520
W Re Ag
1 2 1
Cartesian
1.2564 1.4363 2.1369 W
0.0976 0.0543 0.0169 Re
3.5231 1.9605 0.6091 Re
4.8771 3.4511 2.7629 Ag
```

VASP calculation (PBE-GGA) on a relaxed NdMgCdRh crystal.

Results
Formation energy from the elements   -0.333 eV per atom
Total magnetic moment   0.0 μB per formula unit
D(E_F)   0.811 states/eV/atom

Cell and atoms, written as POSCAR:
```
NdMgCdRh
1.0
-1.8381 -1.5320 4.3671
2.6882 -3.0139 2.9133
1.9304 1.7212 4.2554
Cd Nd Mg Rh
1 1 1 1
Cartesian
2.0854 -2.1186 8.6519 Cd
1.3903 -1.4124 5.7679 Nd
0.0000 0.0000 0.0000 Mg
0.6951 -0.7062 2.8840 Rh
```